DFT (PBE-GGA) results for a relaxed structure of Pr3CBr5.

density = 4.62 Mg/m³
E_form (uncorrected) = -1579 meV/atom
calculated total energy = -46.14 eV/f.u.
SG = P-1 (2)

abc: 7.7354 9.2184 9.3451
angles: 107.31 97.03 104.99
Last column: nearest neighbours and their distance in Å.
Sites, in units of the cell vectors:
C1 0.0898 0.0324 0.0448  1 C 1.41
C2 0.9102 0.9676 0.9552  1 C 1.41
Br1 0.8106 0.2631 0.3530  3 Pr 2.97-3.19
Br2 0.4590 0.8178 0.0858  4 Pr 3.10-3.24
Br3 0.2455 0.0835 0.4611  3 Pr 2.96-3.25
Br4 0.3376 0.4614 0.2756  2 Pr 2.89-2.96
Br5 0.1894 0.7369 0.6470  3 Pr 2.97-3.19
Br6 0.6624 0.5386 0.7244  2 Pr 2.89-2.96
Br7 0.7545 0.9165 0.5389  3 Pr 2.96-3.25
Br8 0.5410 0.1822 0.9142  4 Pr 3.10-3.24
Br9 0.0897 0.3723 0.8232  3 Pr 2.96-3.23
Br10 0.9103 0.6277 0.1768  3 Pr 2.96-3.23
Pr1 0.3846 0.1481 0.1972  1 C 2.33
Pr2 0.6154 0.8519 0.8028  1 C 2.33
Pr3 0.8855 0.9544 0.2306  2 C 2.62-2.64
Pr4 0.1145 0.0456 0.7694  2 C 2.62-2.64
Pr5 0.9675 0.2792 0.0810  2 C 2.63-2.65
Pr6 0.0325 0.7208 0.9190  2 C 2.63-2.65